[1]
The following is a PBE calculation of a geometry-optimized SmCd8Hg2 structure, from the Alexandria database.

a = 8.0900 Å, b = 15.0768 Å, c = 5.0643 Å
α = 90.00°, β = 116.34°, γ = 90.00°
With the nearest neighbours (Å) after each atom.
Space group C2/m (No. 12)
Asymmetric unit:
Sm1 0.0000 0.0000 0.0000  8 Cd 3.10-3.38
Cd1 0.0000 0.2142 0.0000  2 Hg 2.96, 2 Cd 3.20, 1 Sm 3.23
Cd2 0.0784 0.5000 0.8036  4 Cd 2.76-3.06
Cd3 0.2064 0.1193 0.6633  6 Cd 3.00-3.36, 2 Hg 3.00-3.32
Hg1 0.0000 0.3160 0.5000  6 Cd 2.96-3.10

Summary:
The density of states at the Fermi level is 4.22 states/eV/f.u.


[2]
The following is a PBE calculation of a geometry-optimized LaPm2MgTl4 structure, from the Alexandria database.

a = 5.3604 Å, b = 5.3604 Å, c = 27.9483 Å
α = 90.00°, β = 90.00°, γ = 120.00°
With the nearest neighbours (Å) after each atom.
Space group R-3m (No. 166, hexagonal axes)
Asymmetric unit:
La1 0.0000 0.0000 0.0000  8 Tl 3.34-3.48
Pm1 0.0000 0.0000 0.2408  7 Tl 3.22-3.37
Mg1 0.0000 0.0000 0.5000  8 Tl 3.31-3.41
Tl1 0.0000 0.0000 0.1245  4 Pm 3.22-3.25, 3 Mg 3.31, 1 La 3.48
Tl2 0.0000 0.0000 0.3779  3 La 3.34, 3 Pm 3.37, 1 Mg 3.41

Summary:
The density of states at the Fermi level is 5.63 states/eV/f.u.


[3]
The following is a PBE calculation of a geometry-optimized PtWIN2 structure, from the Alexandria database.

a = 3.8892 Å, b = 3.8892 Å, c = 6.0285 Å
α = 90.00°, β = 90.00°, γ = 90.00°
With the nearest neighbours (Å) after each atom.
Space group P4/mmm (No. 123)
Asymmetric unit:
Pt1 0.0000 0.0000 0.0000  4 I 2.75
W1 0.5000 0.5000 0.5000  4 N 1.94
I1 0.5000 0.5000 0.0000  4 Pt 2.75, 2 W 3.01
N1 0.0000 0.5000 0.5000  2 W 1.94

Summary:
The calculation puts the polymorph energy (0 for the lowest one) at 0.0000 eV/atom. The density of states at the Fermi level is 3.86 states/eV/f.u.


[4]
The following is a PBE calculation of a geometry-optimized AgSbOs structure, from the Alexandria database.

a = 3.1299 Å, b = 5.0328 Å, c = 15.0817 Å
α = 90.00°, β = 90.00°, γ = 90.00°
With the nearest neighbours (Å) after each atom.
Space group Fmm2 (No. 42)
Asymmetric unit:
Ag1 0.0000 0.0000 0.0000  2 Os 2.82, 6 Ag 2.96-3.13
Sb1 0.0000 0.0000 0.7014  2 Os 2.66, 4 Sb 2.96
Os1 0.0000 0.0000 0.3443  2 Sb 2.66, 2 Ag 2.82, 4 Os 2.96

Summary:
The calculation puts the polymorph energy (0 for the lowest one) at 0.2943 eV/atom. The density of states at the Fermi level is 2.63 states/eV/f.u.


[5]
The following is a PBE calculation of a geometry-optimized ZnSnAu3 structure, from the Alexandria database.

a = 6.7622 Å, b = 6.7622 Å, c = 5.1747 Å
α = 90.00°, β = 90.00°, γ = 120.00°
With the nearest neighbours (Å) after each atom.
Space group P6_3/mmc (No. 194)
Asymmetric unit:
Zn1 0.0000 0.0000 0.0000  2 Zn 2.59, 6 Au 2.61
Sn1 0.3333 0.6667 0.2500  12 Au 3.06-3.40
Au1 0.1937 0.3874 0.7500  2 Zn 2.61, 2 Au 2.83

Summary:
The calculation puts the polymorph energy (0 for the lowest one) at 0.0000 eV/atom. The density of states at the Fermi level is 1.87 states/eV/f.u.


[6]
The following is a PBE calculation of a geometry-optimized SrCoIr2 structure, from the Alexandria database.

a = 2.8711 Å, b = 4.3637 Å, c = 5.9361 Å
α = 90.00°, β = 102.76°, γ = 90.00°
With the nearest neighbours (Å) after each atom.
Space group P2/m (No. 10)
Asymmetric unit:
Sr1 0.0000 0.0000 0.0000  2 Sr 2.87, 2 Co 3.00, 8 Ir 3.14-3.21
Co1 0.5000 0.0000 0.5000  4 Ir 2.55
Ir1 0.3300 0.5000 0.6877  2 Co 2.55, 2 Ir 2.59-2.62

Summary:
The calculation puts the polymorph energy (0 for the lowest one) at 0.4510 eV/atom. The density of states at the Fermi level is 4.49 states/eV/f.u.


[7]
The following is a PBE calculation of a geometry-optimized RbPaTeS structure, from the Alexandria database.

a = 4.1986 Å, b = 4.1986 Å, c = 25.4410 Å
α = 90.00°, β = 90.00°, γ = 120.00°
With the nearest neighbours (Å) after each atom.
Space group R3m (No. 160, hexagonal axes)
Asymmetric unit:
Rb1 0.0000 0.0000 0.0000  3 S 3.36, 3 Te 3.66
Pa1 0.0000 0.0000 0.8150  3 S 2.83, 3 Te 3.12
Te1 0.0000 0.0000 0.2257  3 Pa 3.12
S1 0.0000 0.0000 0.4246  3 Pa 2.83

Summary:
The density of states at the Fermi level is 5.36 states/eV/f.u.


[8]
The following is a PBE calculation of a geometry-optimized Cs4Y3AlO8 structure, from the Alexandria database.

a = 6.9355 Å, b = 6.9355 Å, c = 20.4867 Å
α = 90.00°, β = 90.00°, γ = 120.00°
With the nearest neighbours (Å) after each atom.
Space group R-3m (No. 166, hexagonal axes)
Asymmetric unit:
Cs1 0.0000 0.0000 0.0000  6 O 3.19, 6 Cs 3.47
Cs2 0.0000 0.5000 0.0000  6 O 3.03-3.04
Y1 0.0000 0.5000 0.5000  6 O 2.29-2.35
Al1 0.0000 0.0000 0.5000  6 O 2.13
O1 0.0000 0.0000 0.2214  3 Y 2.29
O2 0.0282 0.5141 0.2193  1 Al 2.13, 2 Y 2.35

Summary:
The density of states at the Fermi level is 0.00 states/eV/f.u.


[9]
The following is a PBE calculation of a geometry-optimized MgAgRh structure, from the Alexandria database.

a = 4.4872 Å, b = 4.4872 Å, c = 5.5641 Å
α = 90.00°, β = 90.00°, γ = 120.00°
With the nearest neighbours (Å) after each atom.
Space group P3m1 (No. 156)
Asymmetric unit:
Mg1 0.0000 0.0000 0.0000  6 Rh 2.71-2.77, 2 Ag 2.78
Mg2 0.3333 0.6667 0.6580  5 Rh 2.69-2.87, 3 Ag 2.73
Ag1 0.0000 0.0000 0.5005  5 Mg 2.73-2.78, 3 Ag 2.78
Ag2 0.6667 0.3333 0.3200  5 Rh 2.76-2.80, 3 Ag 2.78
Rh1 0.3333 0.6667 0.1423  5 Mg 2.69-2.87, 3 Ag 2.77
Rh2 0.6667 0.3333 0.8238  6 Mg 2.75-2.77, 2 Ag 2.76-2.80

Summary:
The calculation puts the polymorph energy (0 for the lowest one) at 0.0000 eV/atom. The density of states at the Fermi level is 2.90 states/eV/f.u.


[10]
The following is a PBE calculation of a geometry-optimized Ce2SmHfN4 structure, from the Alexandria database.

a = 6.0270 Å, b = 3.4440 Å, c = 6.0437 Å
α = 90.00°, β = 109.05°, γ = 90.00°
With the nearest neighbours (Å) after each atom.
Space group P2/m (No. 10)
Asymmetric unit:
Ce1 0.0000 0.0000 0.0000  6 N 2.59-2.62
Ce2 0.5000 0.5000 0.0000  6 N 2.44
Sm1 0.0000 0.5000 0.5000  6 N 2.48
Hf1 0.5000 0.0000 0.5000  6 N 2.30-2.33
N1 0.2711 0.0000 0.7384  1 Hf 2.30, 2 Ce 2.44, 2 Sm 2.48
N2 0.2773 0.5000 0.2733  2 Hf 2.33, 3 Ce 2.44-2.59, 1 Sm 2.48

Summary:
The density of states at the Fermi level is 5.42 states/eV/f.u.


[11]
The following is a PBE calculation of a geometry-optimized ZnPdBr6 structure, from the Alexandria database.

a = 8.3025 Å, b = 12.0157 Å, c = 6.5391 Å
α = 90.00°, β = 119.37°, γ = 90.00°
With the nearest neighbours (Å) after each atom.
Space group C2/m (No. 12)
Asymmetric unit:
Zn1 0.0000 0.0000 0.0000  6 Br 2.63-2.65
Pd1 0.0000 0.0000 0.5000  6 Br 2.52
Br1 0.1355 0.1436 0.8210  1 Pd 2.52, 1 Zn 2.63
Br2 0.2241 0.5000 0.5626  1 Pd 2.52, 1 Zn 2.65


[12]
The following is a PBE calculation of a geometry-optimized LiAg2IrBr6 structure, from the Alexandria database.

a = 6.8966 Å, b = 6.8991 Å, c = 7.7126 Å
α = 89.96°, β = 63.45°, γ = 60.02°
With the nearest neighbours (Å) after each atom.
Space group P1 (No. 1)
Asymmetric unit:
Li1 0.0000 0.0000 0.0000  6 Br 2.72-2.91
Ag1 0.6638 0.6687 0.0046  6 Br 2.85-2.89
Ag2 0.6829 0.1587 0.4770  6 Br 2.86-2.96, 1 Li 3.15
Ir1 0.3145 0.3432 0.0287  6 Br 2.52
Br1 0.1717 0.7165 0.2441  1 Ir 2.52
Br2 0.1785 0.5677 0.8017  1 Ir 2.52, 1 Li 2.72
Br3 0.4526 0.9807 0.8018  1 Ir 2.52, 1 Li 2.72
Br4 0.4728 0.1124 0.2442  1 Ir 2.52
Br5 0.7657 0.2550 0.8018  1 Ir 2.52, 1 Li 2.72
Br6 0.8685 0.4153 0.2442  1 Ir 2.52

Summary:
The density of states at the Fermi level is 0.00 states/eV/f.u.


no.,E (eV for the cell shown)
1,-25.73
2,-84.31
3,-33.50
4,-63.48
5,-30.52
6,-24.99
7,-66.90
8,-312.87
9,-24.88
10,-72.39
11,-39.52
12,-31.63